HgOs2Br | GGA-PBE | optimized geometry

Cell: 2.9872 4.6480 5.2508 Å, 90.00 92.90 90.00°
Closest atoms and distances in Å follow each position.
Fractional coordinates of all 4 atoms:
Hg: 0.0000 0.0000 0.0000  4 Os 2.85, 4 Br 2.95-3.09, 2 Hg 2.99
Os: 0.2251 0.5000 0.2929  2 Os 2.61-2.66, 2 Br 2.68, 2 Hg 2.85
Os: 0.7749 0.5000 0.7071  2 Os 2.61-2.66, 2 Br 2.68, 2 Hg 2.85
Br: 0.5000 0.0000 0.5000  4 Os 2.68, 2 Hg 2.95, 2 Br 2.99

Results
- DOS(E_F): 3.622 states/eV per cell
- Relative energy among the computed polymorphs: 0.462 eV per atom
- Final energy: -4.75 eV per atom
- Formation energy without anion corrections: 1354.9 meV/atom